# 1
VASP calculation (PBE) on PmH2F4 after structural relaxation.

Unit cell a=6.4268 b=6.4268 c=3.8038 alpha=90.00 beta=90.00 gamma=90.00
Closest atoms and distances in Å follow each position.
Space group I4/m (No. 87)
Symmetry-distinct sites (fractional):
Pm 0.0000 0.0000 0.0000  4 F 2.33
H 0.0000 0.5000 0.2500  4 F 1.50
F 0.0988 0.6518 0.0000  2 H 1.50

Properties
For the uncorrected energy, the calculation gives -4.65 eV/atom. The calculation puts the size of the total moment at 0.000 μB/cell. The density comes out at 4.714 Mg/m³.

---

# 2
VASP calculation (PBE) on Pm2H2F7 after structural relaxation.

Unit cell a=6.3586 b=11.6189 c=4.9076 alpha=90.00 beta=102.53 gamma=90.00
Closest atoms and distances in Å follow each position.
Space group C2/m (No. 12)
Symmetry-distinct sites (fractional):
Pm 0.0000 0.1661 0.0000  6 F 2.25-2.35
H 0.0224 0.5000 0.4353  1 H 0.75
F 0.0000 0.0000 0.5000  2 F 2.22
F 0.1786 0.2718 0.7395  2 Pm 2.25-2.28
F 0.1947 0.0000 0.9338  1 F 2.22, 2 Pm 2.35

Properties
For the uncorrected energy, the calculation gives -5.49 eV/atom. The calculation puts the size of the total moment at 2.006 μB/cell. The density comes out at 3.988 Mg/m³.

---

# 3
VASP calculation (PBE) on PmHF2 after structural relaxation.

Unit cell a=3.5588 b=3.5588 c=3.5444 alpha=90.00 beta=90.00 gamma=90.00
Closest atoms and distances in Å follow each position.
Space group P4/mmm (No. 123)
Symmetry-distinct sites (fractional):
Pm 0.0000 0.0000 0.0000  8 F 2.51, 4 H 2.52
H 0.5000 0.5000 0.0000  8 F 2.51, 4 Pm 2.52
F 0.0000 0.5000 0.5000  4 H 2.51, 4 Pm 2.51, 4 F 2.52

Properties
For the uncorrected energy, the calculation gives -5.53 eV/atom. The calculation puts the size of the total moment at 0.000 μB/cell. The energy above the lowest structure with this stoichiometry is 121 meV per atom. The density comes out at 6.807 Mg/m³.

---

# 4
VASP calculation (PBE) on PmHF5 after structural relaxation.

Unit cell a=8.1599 b=6.3012 c=6.9829 alpha=90.00 beta=111.80 gamma=90.00
Closest atoms and distances in Å follow each position.
Space group C2/c (No. 15)
Symmetry-distinct sites (fractional):
Pm 0.0000 0.1712 0.2500  3 F 2.17-2.39
H 0.2500 0.2500 0.0000  2 F 1.16
F 0.0000 0.4841 0.7500  1 Pm 2.17
F 0.1373 0.1336 0.9934  1 H 1.16
F 0.1865 0.2904 0.6030  1 F 2.12

Properties
For the uncorrected energy, the calculation gives -5.14 eV/atom. The calculation puts the size of the total moment at 4.049 μB/cell. The density comes out at 4.802 Mg/m³.

---

# 5
VASP calculation (PBE) on PmHF2 after structural relaxation.

Unit cell a=3.3872 b=3.3872 c=4.5470 alpha=90.00 beta=90.00 gamma=90.00
Closest atoms and distances in Å follow each position.
Space group P4mm (No. 99)
Symmetry-distinct sites (fractional):
Pm 0.0000 0.0000 0.0000  2 F 2.26-2.29
H 0.5000 0.5000 0.2256  1 F 2.06
F 0.0000 0.0000 0.4967  2 Pm 2.26-2.29
F 0.5000 0.5000 0.7725  1 H 2.06

Properties
For the uncorrected energy, the calculation gives -5.16 eV/atom. The calculation puts the size of the total moment at 0.000 μB/cell. The energy above the lowest structure with this stoichiometry is 492 meV per atom. The density comes out at 5.857 Mg/m³.

---

# 6
VASP calculation (PBE) on PrHF2 after structural relaxation.

Unit cell a=5.7855 b=5.7855 c=5.7855 alpha=90.00 beta=90.00 gamma=90.00
Closest atoms and distances in Å follow each position.
Space group Fm-3m (No. 225)
Symmetry-distinct sites (fractional):
Pr 0.0000 0.0000 0.0000  8 F 2.51
H 0.0000 0.0000 0.5000  8 F 2.51
F 0.2500 0.2500 0.2500  4 H 2.51, 4 Pr 2.51

Properties
For the uncorrected energy, the calculation gives -5.66 eV/atom. The calculation puts the size of the total moment at 0.000 μB/cell. The density comes out at 6.171 Mg/m³.

---

# 7
VASP calculation (PBE) on PrHF4 after structural relaxation.

Unit cell a=7.3101 b=7.3101 c=7.0014 alpha=90.00 beta=90.00 gamma=90.00
Closest atoms and distances in Å follow each position.
Space group I4_1md (No. 109)
Symmetry-distinct sites (fractional):
Pr 0.0000 0.0000 0.0000  4 F 2.28-2.29
H 0.0000 0.0000 0.3730  2 F 1.17
F 0.0000 0.1554 0.3361  1 H 1.17
F 0.0000 0.3127 0.9888  2 Pr 2.28-2.29

Properties
For the uncorrected energy, the calculation gives -5.75 eV/atom. The calculation puts the size of the total moment at 0.000 μB/cell. The density comes out at 3.869 Mg/m³.

---

# 8
VASP calculation (PBE) on PrHF after structural relaxation.

Unit cell a=3.3935 b=3.3935 c=7.3387 alpha=90.00 beta=90.00 gamma=90.00
Closest atoms and distances in Å follow each position.
Space group I4mm (No. 107)
Symmetry-distinct sites (fractional):
Pr 0.0000 0.0000 0.0000  1 F 2.40, 5 H 2.61-2.62
H 0.0000 0.0000 0.3556  1 F 2.33
F 0.0000 0.0000 0.6725  1 H 2.33, 1 Pr 2.40

Properties
For the uncorrected energy, the calculation gives -5.09 eV/atom. The calculation puts the size of the total moment at 0.596 μB/cell. The energy above the lowest structure with this stoichiometry is 347 meV per atom. The density comes out at 6.323 Mg/m³.